PaNbFe | PBE-GGA | optimized geometry

Calculated values
- magnetic moment (μB/atom) = 0.052
- formation energy (eV per atom) = 0.064
- uncorrected energy (eV/cell) = -27.84

Unit cell a=6.227 b=6.227 c=6.227 alpha=151.70 beta=151.70 gamma=40.45
Positions (direct):
Pa 0.000 0.000 0.000
Nb 0.291 0.291 0.000
Fe 0.669 0.669 0.000